# 1
PrTm2As3 (PBE-GGA, optimized geometry); formation energy from the elements = -856 kJ/mol of formula units
1.0
-2.918 1.843 2.299
-3.370 -4.803 -0.427
5.756 -0.811 4.218
As Pr Tm
3 1 2
Direct
0.000 0.000 0.000
0.325 0.325 0.651
0.675 0.675 0.349
0.000 0.500 0.000
0.665 0.165 0.331
0.335 0.835 0.669


# 2
SrLi3Ir (PBE-GGA, optimized geometry); E above lowest polymorph = 0.00 eV/f.u.; formation energy from the elements = -23 kJ/mol of formula units
1.0
-0.547 -1.616 5.980
-7.204 -4.896 -0.301
2.729 -8.272 -0.305
Li Ir Sr
12 4 4
Direct
0.581 0.995 0.637
0.907 0.014 0.378
0.919 0.363 0.005
0.407 0.378 0.014
0.906 0.693 0.689
0.593 0.622 0.986
0.094 0.307 0.311
0.594 0.311 0.307
0.081 0.637 0.995
0.406 0.689 0.693
0.093 0.986 0.622
0.419 0.005 0.363
0.788 0.247 0.566
0.712 0.434 0.753
0.288 0.566 0.247
0.212 0.753 0.434
0.250 0.371 0.629
0.750 0.629 0.371
0.750 0.087 0.913
0.250 0.913 0.087


# 3
Sm4Te2CS (PBE-GGA, optimized geometry); uncorrected energy = -6.1105 eV/atom
1.0
4.042 0.000 0.000
0.000 7.071 0.138
0.000 -2.464 7.094
Sm Te S C
4 2 1 1
Direct
0.000 0.713 0.197
0.500 0.259 0.201
0.500 0.741 0.799
0.000 0.287 0.803
0.000 0.500 0.500
0.500 0.000 0.500
0.000 0.000 0.000
0.500 0.500 0.000


# 4
TbDyYHo (PBE-GGA, optimized geometry); E above lowest polymorph = 0.00 eV/f.u.; formation energy from the elements = 8 kJ/mol of formula units
1.0
-0.260 3.878 -3.180
1.635 -2.941 -3.720
-5.425 -1.697 2.339
Dy Ho Tb Y
1 1 1 1
Direct
0.870 0.370 0.739
0.620 0.620 0.240
0.120 0.120 0.240
0.370 0.870 0.740


# 5
SrCu4Si2 (PBE-GGA, optimized geometry); E above lowest polymorph = 0.00 eV/f.u.
1.0
-3.052 -0.162 -2.909
0.487 -4.146 -0.280
-4.570 1.256 4.724
Cu Si Sr
4 2 1
Direct
0.000 0.690 0.379
0.000 0.310 0.621
0.500 0.807 0.614
0.500 0.193 0.386
0.500 0.400 0.801
0.500 0.600 0.199
0.000 0.000 0.000


# 6
ZrNbIn3 (PBE-GGA, optimized geometry); E above lowest polymorph = 0.00 eV/f.u.; formation energy from the elements = 411 kJ/mol of formula units
1.0
-0.351 -5.209 -0.411
1.358 -0.489 5.034
-5.045 0.231 1.383
Nb In Zr
1 3 1
Direct
0.000 0.000 0.000
0.500 0.000 0.000
0.000 0.000 0.500
0.000 0.500 0.000
0.500 0.500 0.500


# 7
YZr2Co (PBE-GGA, optimized geometry); E above lowest polymorph = 1.77 eV/f.u.; formation energy from the elements = 113 kJ/mol of formula units
1.0
5.351 0.000 0.000
1.693 5.076 0.000
-3.522 -2.538 3.128
Zr Co Y
2 1 1
Direct
0.250 0.750 0.500
0.000 0.000 0.000
0.500 0.500 0.000
0.750 0.250 0.500


# 8
YFeTc2 (PBE-GGA, optimized geometry); E above lowest polymorph = 1.56 eV/f.u.; formation energy from the elements = 206 kJ/mol of formula units
1.0
-1.849 -1.937 -4.405
-1.754 -1.891 4.464
-2.091 1.968 0.012
Y Tc Fe
1 2 1
Direct
0.500 0.000 0.500
0.000 0.000 0.000
0.500 0.500 0.000
0.000 0.500 0.500


# 9
Sr2CaLa (PBE-GGA, optimized geometry); E above lowest polymorph = 0.05 eV/f.u.; formation energy from the elements = 38 kJ/mol of formula units
1.0
-7.509 3.868 -10.539
-4.382 2.420 -12.544
-7.300 -0.027 -11.363
Ca La Sr
1 1 2
Direct
0.250 0.250 0.250
0.750 0.750 0.750
0.001 0.001 0.001
0.499 0.499 0.499


# 10
SrMn2Si (PBE-GGA, optimized geometry); uncorrected energy = -5.9785 eV/atom
1.0
-2.932 1.184 -3.277
-3.460 -1.493 2.556
-3.958 7.529 3.097
Mn Si Sr
4 2 2
Direct
0.374 0.125 0.250
0.375 0.626 0.750
0.875 0.624 0.750
0.376 0.625 0.250
0.500 0.500 0.000
0.250 0.750 0.500
0.000 0.000 0.000
0.750 0.250 0.500


# 11
CaLaTl (PBE-GGA, optimized geometry); E above lowest polymorph = 1.81 eV/f.u.; formation energy from the elements = 59 kJ/mol of formula units
1.0
2.475 -4.236 -2.214
-2.543 -2.973 -3.697
1.567 0.186 -5.146
Tl La Ca
1 1 1
Direct
0.250 0.250 0.250
0.500 0.500 0.500
0.750 0.750 0.750


# 12
HoErCuAg (PBE-GGA, optimized geometry); E above lowest polymorph = 0.07 eV/f.u.; formation energy from the elements = -108 kJ/mol of formula units
1.0
-0.763 -3.805 3.158
-2.730 -3.938 -1.440
2.212 -4.413 -0.819
Cu Ho Ag Er
1 1 1 1
Direct
0.250 0.250 0.250
0.000 0.000 0.000
0.750 0.750 0.750
0.500 0.500 0.500


# 13
ThGe2As (PBE-GGA, optimized geometry); formation energy from the elements = -212 kJ/mol of formula units
1.0
4.689 0.000 0.000
0.000 4.277 0.000
0.000 0.000 4.277
As Ge Th
1 2 1
Direct
0.500 0.000 0.000
0.000 0.500 0.000
0.000 0.000 0.500
0.500 0.500 0.500


# 14
MnTl2InS4 (PBE-GGA, optimized geometry); uncorrected energy = -4.5514 eV/atom
1.0
8.009 -0.028 -0.004
-0.033 8.009 -0.004
-3.920 -3.923 5.645
Tl S Mn In
4 8 2 2
Direct
0.500 0.000 0.500
0.500 0.500 0.000
0.000 0.000 0.500
0.500 0.000 0.000
0.230 0.270 0.026
0.194 0.720 0.957
0.230 0.270 0.474
0.220 0.694 0.457
0.806 0.280 0.043
0.770 0.730 0.526
0.770 0.730 0.974
0.780 0.306 0.543
0.000 0.500 0.000
0.000 0.500 0.500
0.000 0.000 0.000
0.500 0.500 0.500


# 15
PrEr2Pb9 (PBE-GGA, optimized geometry); formation energy from the elements = -334 kJ/mol of formula units
1.0
-2.717 1.672 3.726
2.323 -3.047 3.062
10.015 10.321 2.674
Pb Pr Er
9 1 2
Direct
0.000 0.500 0.172
0.500 0.500 0.336
0.500 0.500 0.000
0.000 0.500 0.500
0.000 0.500 0.828
0.500 0.000 0.500
0.500 0.000 0.828
0.500 0.000 0.172
0.500 0.500 0.664
0.000 0.000 0.000
0.000 0.000 0.334
0.000 0.000 0.666


# 16
K4Np3CuTe8 (PBE-GGA, optimized geometry); uncorrected energy = -5.2674 eV/atom
1.0
8.923 0.000 0.000
0.000 9.668 0.459
-4.462 -4.497 6.372
Te Cu Np K
8 1 3 4
Direct
0.233 0.702 0.466
0.737 0.711 0.473
0.767 0.298 0.534
0.255 0.304 0.031
0.225 0.696 0.969
0.775 0.304 0.031
0.745 0.696 0.969
0.263 0.289 0.527
0.000 0.500 0.000
0.000 0.500 0.500
0.500 0.500 0.000
0.500 0.500 0.500
0.500 0.000 0.000
0.500 0.000 0.500
0.000 0.000 0.000
0.000 0.000 0.500


# 17
HfNbPO2 (PBE-GGA, optimized geometry); E above lowest polymorph = 0.25 eV/f.u.
1.0
-1.185 -2.556 2.696
-2.544 -1.504 -2.544
3.625 -3.389 -1.620
Nb O Hf P
1 2 1 1
Direct
0.000 0.000 0.000
0.500 0.000 0.000
0.000 0.500 0.000
0.500 0.500 0.500
0.000 0.000 0.500


# 18
CrRe2Se (PBE-GGA, optimized geometry); E above lowest polymorph = 3.87 eV/f.u.
1.0
-1.566 -4.939 1.306
0.419 -1.486 -5.115
4.872 -4.706 -1.024
Re Se Cr
4 2 2
Direct
0.875 0.853 0.750
0.147 0.625 0.250
0.375 0.397 0.750
0.603 0.125 0.250
0.750 0.250 0.500
0.000 0.000 0.000
0.500 0.500 0.000
0.250 0.750 0.500


# 19
TiRe2Tc2 (PBE-GGA, optimized geometry); E above lowest polymorph = 0.41 eV/f.u.; formation energy from the elements = 101 kJ/mol of formula units
1.0
-3.706 -0.717 -1.665
3.341 -2.227 -1.367
-0.821 -3.985 3.544
Re Ti Tc
2 1 2
Direct
0.645 0.291 0.352
0.355 0.709 0.648
0.000 0.000 0.000
0.323 0.647 0.167
0.677 0.353 0.833


# 20
LiYO3 (PBE-GGA, optimized geometry); uncorrected energy = -6.2437 eV/atom
1.0
4.358 0.000 0.000
0.000 4.358 0.000
0.000 0.000 4.358
O Y Li
3 1 1
Direct
0.000 0.500 0.000
0.000 0.000 0.500
0.500 0.000 0.000
0.000 0.000 0.000
0.500 0.500 0.500